An optimized crystal structure of Cd6Cu. Source: Alexandria via LeMat-Bulk, functional PBE.

a = 6.969 Å, b = 6.969 Å, c = 6.969 Å
α = 109.47°, β = 109.47°, γ = 109.47°
Positions (direct):
Cd 0.250 0.500 0.750
Cd 0.250 0.750 0.500
Cd 0.500 0.250 0.750
Cd 0.500 0.750 0.250
Cd 0.750 0.250 0.500
Cd 0.750 0.500 0.250
Cu 0.000 0.000 0.000

Calculated values
* excess energy over the best structure of this formula in the dataset: 63.59 kJ/mol of atoms
* ΔH_f (0 K): 0.675 eV per atom
* magnetic moment: 0.0 μB per cell